Record 1
The following is a PBE calculation of a geometry-optimized NaLi5Pb3 structure, from Alexandria.

## Properties
- magnetization (μB/atom) = 0.000
- space-group type = P6_3/mcm
- energy of formation (eV per atom) = -0.234

Geometry as POSCAR:
```
NaLi5Pb3
1.0
6.033 0.000 0.000
0.000 8.608 0.000
0.000 -4.304 7.454
Li Na Pb
10 2 6
Direct
0.250 0.326 0.326 Li
0.000 0.333 0.667 Li
0.250 0.674 0.000 Li
0.750 0.000 0.326 Li
0.500 0.667 0.333 Li
0.000 0.667 0.333 Li
0.250 0.000 0.674 Li
0.500 0.333 0.667 Li
0.750 0.326 0.000 Li
0.750 0.674 0.674 Li
0.000 0.000 0.000 Na
0.500 0.000 0.000 Na
0.750 0.351 0.351 Pb
0.250 0.000 0.351 Pb
0.750 0.000 0.649 Pb
0.250 0.351 0.000 Pb
0.250 0.649 0.649 Pb
0.750 0.649 0.000 Pb
```

=====

Record 2
The following is a PBE calculation of a geometry-optimized TbErGa3 structure, from Alexandria.

## Properties
- magnetization (μB/atom) = 0.000
- space-group type = Cmcm
- energy of formation (eV per atom) = -0.643

Geometry as POSCAR:
```
TbErGa3
1.0
-2.014 3.190 -1.756
-3.646 -1.801 0.911
1.636 6.960 10.770
Tb Ga Er
2 6 2
Direct
0.250 0.073 0.146 Tb
0.750 0.927 0.854 Tb
0.250 0.380 0.760 Ga
0.250 0.476 0.952 Ga
0.750 0.323 0.646 Ga
0.250 0.677 0.354 Ga
0.750 0.620 0.240 Ga
0.750 0.524 0.048 Ga
0.250 0.796 0.591 Er
0.750 0.204 0.409 Er
```

=====

Record 3
The following is a PBE calculation of a geometry-optimized BeAl2Pt structure, from Alexandria.

## Properties
- magnetization (μB/atom) = 0.000
- space-group type = Pmmm
- energy of formation (eV per atom) = -0.431

Geometry as POSCAR:
```
BeAl2Pt
1.0
3.082 0.000 0.000
0.000 3.357 0.000
0.000 0.000 5.298
Al Be Pt
2 1 1
Direct
0.000 0.000 0.009 Al
0.000 0.000 0.491 Al
0.500 0.500 0.250 Be
0.500 0.500 0.750 Pt
```

=====

Record 4
The following is a PBE calculation of a geometry-optimized Pm12Nd7Cd structure, from Alexandria.

## Properties
- magnetization (μB/atom) = 0.000
- space-group type = R-3m
- energy of formation (eV per atom) = 0.042

Geometry as POSCAR:
```
Pm12Nd7Cd
1.0
-4.526 -4.935 5.928
1.953 -6.328 -6.011
7.872 0.521 4.211
Pm Cd Nd
12 1 7
Direct
0.350 0.085 0.350 Pm
0.650 0.650 0.915 Pm
0.650 0.915 0.650 Pm
0.911 0.911 0.330 Pm
0.670 0.089 0.089 Pm
0.350 0.350 0.085 Pm
0.089 0.670 0.089 Pm
0.330 0.911 0.911 Pm
0.915 0.650 0.650 Pm
0.911 0.330 0.911 Pm
0.085 0.350 0.350 Pm
0.089 0.089 0.670 Pm
0.000 0.000 0.000 Cd
0.760 0.500 0.240 Nd
0.760 0.240 0.500 Nd
0.500 0.760 0.240 Nd
0.500 0.500 0.500 Nd
0.240 0.760 0.500 Nd
0.500 0.240 0.760 Nd
0.240 0.500 0.760 Nd
```

=====

Record 5
The following is a PBE calculation of a geometry-optimized TaSbMo structure, from Alexandria.

## Properties
- magnetization (μB/atom) = 0.000
- polymorph energy (0 for the lowest one) (meV per atom) = 326.5
- ΔE_f (raw) (eV per atom) = 0.243
- space-group type = P3m1

Geometry as POSCAR:
```
TaSbMo
1.0
-1.977 -3.644 -2.201
2.612 -0.710 3.835
-2.382 0.281 1.674
Sb Mo Ta
1 1 1
Direct
0.667 0.333 0.167 Sb
0.000 0.000 0.122 Mo
0.333 0.667 0.711 Ta
```

=====

Record 6
The following is a PBE calculation of a geometry-optimized Cd12Bi3Cl5 structure, from Alexandria.

## Properties
- magnetization (μB/atom) = 0.000
- ΔE_f (raw) (eV per atom) = -0.149
- space-group type = Ia-3d

Geometry as POSCAR:
```
Cd12Bi3Cl5
1.0
15.146 0.000 0.000
-5.049 14.280 0.000
-5.049 -7.140 12.367
Cd Cl Bi
48 20 12
Direct
0.271 0.857 0.937 Cd
0.833 0.914 0.271 Cd
0.771 0.333 0.914 Cd
0.081 0.167 0.437 Cd
0.333 0.771 0.414 Cd
0.857 0.586 0.919 Cd
0.167 0.086 0.729 Cd
0.937 0.357 0.271 Cd
0.086 0.919 0.357 Cd
0.086 0.167 0.229 Cd
0.229 0.563 0.643 Cd
0.081 0.914 0.143 Cd
0.333 0.563 0.419 Cd
0.419 0.063 0.333 Cd
0.937 0.581 0.167 Cd
0.063 0.419 0.833 Cd
0.437 0.771 0.857 Cd
0.419 0.357 0.586 Cd
0.063 0.643 0.729 Cd
0.729 0.586 0.167 Cd
0.643 0.581 0.914 Cd
0.437 0.667 0.081 Cd
0.414 0.271 0.333 Cd
0.771 0.437 0.357 Cd
0.143 0.414 0.081 Cd
0.357 0.937 0.771 Cd
0.563 0.229 0.143 Cd
0.667 0.229 0.586 Cd
0.667 0.437 0.581 Cd
0.833 0.919 0.063 Cd
0.271 0.414 0.833 Cd
0.729 0.143 0.063 Cd
0.143 0.729 0.563 Cd
0.586 0.729 0.667 Cd
0.167 0.081 0.937 Cd
0.914 0.081 0.643 Cd
0.581 0.643 0.414 Cd
0.414 0.143 0.581 Cd
0.643 0.063 0.229 Cd
0.357 0.419 0.086 Cd
0.914 0.833 0.771 Cd
0.919 0.833 0.563 Cd
0.857 0.271 0.437 Cd
0.586 0.857 0.419 Cd
0.563 0.333 0.919 Cd
0.919 0.086 0.857 Cd
0.581 0.937 0.667 Cd
0.229 0.667 0.086 Cd
0.500 0.500 0.000 Cl
0.750 0.125 0.875 Cl
0.875 0.625 0.750 Cl
0.000 0.500 0.500 Cl
0.375 0.250 0.125 Cl
0.500 0.000 0.500 Cl
0.250 0.875 0.125 Cl
0.500 0.500 0.500 Cl
0.875 0.250 0.625 Cl
0.375 0.125 0.750 Cl
0.000 0.000 0.000 Cl
0.625 0.750 0.875 Cl
0.000 0.000 0.500 Cl
0.125 0.375 0.250 Cl
0.500 0.000 0.000 Cl
0.000 0.500 0.000 Cl
0.125 0.750 0.375 Cl
0.250 0.375 0.625 Cl
0.625 0.875 0.250 Cl
0.750 0.625 0.375 Cl
0.250 0.625 0.875 Bi
0.125 0.875 0.750 Bi
0.625 0.375 0.750 Bi
0.750 0.875 0.625 Bi
0.375 0.625 0.250 Bi
0.625 0.250 0.375 Bi
0.125 0.250 0.875 Bi
0.875 0.750 0.125 Bi
0.375 0.750 0.625 Bi
0.875 0.125 0.250 Bi
0.250 0.125 0.375 Bi
0.750 0.375 0.125 Bi
```

=====

no.,raw total energy (eV per atom)
1,-2.679
2,-4.297
3,-4.745
4,-4.523
5,-8.692
6,-1.742